Entry 1:
A plane-wave DFT calculation with PBE-GGA was carried out for a relaxed structure of TiV7Ga4.

Structure (CIF):
```
data_TiV7Ga4
_cell_length_a 9.4813
_cell_length_b 4.4939
_cell_length_c 9.6725
_cell_angle_alpha 90.00
_cell_angle_beta 118.77
_cell_angle_gamma 90.00
_space_group_name_H-M_alt 'C 1 2/m 1'
_space_group_IT_number 12
loop_
_space_group_symop_operation_xyz
'x,y,z'
'-x,-y,-z'
'-x,y,-z'
'x,-y,z'
'x+1/2,y+1/2,z'
'-x+1/2,-y+1/2,-z'
'-x+1/2,y+1/2,-z'
'x+1/2,-y+1/2,z'
loop_
_atom_site_label
_atom_site_type_symbol
_atom_site_fract_x
_atom_site_fract_y
_atom_site_fract_z
Ti1 Ti 0.0000 0.0000 0.0000
V1 V 0.0000 0.5000 0.0000
V2 V 0.0388 0.0000 0.3829
V3 V 0.1431 0.5000 0.5327
V4 V 0.2155 0.0000 0.9170
Ga1 Ga 0.0940 0.5000 0.7760
Ga2 Ga 0.2190 0.5000 0.3123
```

E_form = 1.02 eV/f.u.
DFT total energy = -0.2536 hartree per atom

Entry 2:
A plane-wave DFT calculation with PBE-GGA was carried out for a relaxed structure of TiV3Ga.

Structure (CIF):
```
data_TiV3Ga
_cell_length_a 4.7266
_cell_length_b 13.4847
_cell_length_c 4.9193
_cell_angle_alpha 90.00
_cell_angle_beta 90.00
_cell_angle_gamma 90.00
_space_group_name_H-M_alt 'C m c m'
_space_group_IT_number 63
_space_group_name_Hall '-C 2c 2'
loop_
_atom_site_label
_atom_site_type_symbol
_atom_site_fract_x
_atom_site_fract_y
_atom_site_fract_z
Ti1 Ti 0.0000 0.1797 0.2500
V1 V 0.0000 0.0000 0.0000
V2 V 0.2420 0.1455 0.7500
Ga1 Ga 0.0000 0.4393 0.7500
```

E_form = 1.41 eV/f.u.
Excess energy over the best structure of this formula in the dataset = 0 meV/atom
DFT total energy = -0.2709 hartree per atom

Entry 3:
A plane-wave DFT calculation with PBE-GGA was carried out for a relaxed structure of Ti4VGa2.

Structure (CIF):
```
data_Ti4VGa2
_cell_length_a 4.2503
_cell_length_b 4.2503
_cell_length_c 14.3630
_cell_angle_alpha 90.00
_cell_angle_beta 90.00
_cell_angle_gamma 90.00
_space_group_name_H-M_alt 'I 4/m m m'
_space_group_IT_number 139
_space_group_name_Hall '-I 4 2'
loop_
_atom_site_label
_atom_site_type_symbol
_atom_site_fract_x
_atom_site_fract_y
_atom_site_fract_z
Ti1 Ti 0.0000 0.0000 0.1830
Ti2 Ti 0.0000 0.5000 0.0000
V1 V 0.0000 0.0000 0.0000
Ga1 Ga 0.0000 0.0000 0.3648
```

E_form = 2.60 eV/f.u.
Excess energy over the best structure of this formula in the dataset = 545 meV/atom
DFT total energy = -0.2318 hartree per atom

Entry 4:
A plane-wave DFT calculation with PBE-GGA was carried out for a relaxed structure of TiV4Ga.

Structure (CIF):
```
data_TiV4Ga
_cell_length_a 4.3958
_cell_length_b 9.0796
_cell_length_c 4.3194
_cell_angle_alpha 90.00
_cell_angle_beta 90.00
_cell_angle_gamma 90.00
_space_group_name_H-M_alt 'C m m m'
_space_group_IT_number 65
_space_group_name_Hall '-C 2 2'
loop_
_atom_site_label
_atom_site_type_symbol
_atom_site_fract_x
_atom_site_fract_y
_atom_site_fract_z
Ti1 Ti 0.0000 0.0000 0.0000
V1 V 0.0000 0.1801 0.5000
V2 V 0.0000 0.3122 0.0000
Ga1 Ga 0.0000 0.5000 0.5000
```

E_form = -0.57 eV/f.u.
Excess energy over the best structure of this formula in the dataset = 0 meV/atom
DFT total energy = -0.2938 hartree per atom

Entry 5:
A plane-wave DFT calculation with PBE-GGA was carried out for a relaxed structure of Ti6VGa.

Structure (CIF):
```
data_Ti6VGa
_cell_length_a 5.7011
_cell_length_b 9.8388
_cell_length_c 5.5780
_cell_angle_alpha 90.00
_cell_angle_beta 119.04
_cell_angle_gamma 90.00
_space_group_name_H-M_alt 'C 1 2/m 1'
_space_group_IT_number 12
loop_
_space_group_symop_operation_xyz
'x,y,z'
'-x,-y,-z'
'-x,y,-z'
'x,-y,z'
'x+1/2,y+1/2,z'
'-x+1/2,-y+1/2,-z'
'-x+1/2,y+1/2,-z'
'x+1/2,-y+1/2,z'
loop_
_atom_site_label
_atom_site_type_symbol
_atom_site_fract_x
_atom_site_fract_y
_atom_site_fract_z
Ti1 Ti 0.0026 0.0000 0.2491
Ti2 Ti 0.0130 0.2775 0.7566
V1 V 0.0000 0.5000 0.0000
Ga1 Ga 0.0000 0.5000 0.5000
```

E_form = 1.72 eV/f.u.
Excess energy over the best structure of this formula in the dataset = 306 meV/atom
DFT total energy = -0.2655 hartree per atom

Entry 6:
A plane-wave DFT calculation with PBE-GGA was carried out for a relaxed structure of TiVGa.

Structure (CIF):
```
data_TiVGa
_cell_length_a 4.5742
_cell_length_b 8.6836
_cell_length_c 4.5436
_cell_angle_alpha 90.00
_cell_angle_beta 90.00
_cell_angle_gamma 90.00
_space_group_name_H-M_alt 'C m c m'
_space_group_IT_number 63
_space_group_name_Hall '-C 2c 2'
loop_
_atom_site_label
_atom_site_type_symbol
_atom_site_fract_x
_atom_site_fract_y
_atom_site_fract_z
Ti1 Ti 0.0000 0.0868 0.2500
V1 V 0.0000 0.4239 0.2500
Ga1 Ga 0.0000 0.2517 0.7500
```

E_form = -0.72 eV/f.u.
Excess energy over the best structure of this formula in the dataset = 33 meV/atom
DFT total energy = -0.2543 hartree per atom

Entry 7:
A plane-wave DFT calculation with PBE-GGA was carried out for a relaxed structure of TiV4Ga.

Structure (CIF):
```
data_TiV4Ga
_cell_length_a 4.8539
_cell_length_b 5.1347
_cell_length_c 7.3026
_cell_angle_alpha 90.00
_cell_angle_beta 105.99
_cell_angle_gamma 90.00
_space_group_name_H-M_alt 'P 1 21/m 1'
_space_group_IT_number 11
loop_
_space_group_symop_operation_xyz
'x,y,z'
'-x,-y,-z'
'-x,y+1/2,-z'
'x,-y+1/2,z'
loop_
_atom_site_label
_atom_site_type_symbol
_atom_site_fract_x
_atom_site_fract_y
_atom_site_fract_z
Ti1 Ti 0.1971 0.2500 0.3228
V1 V 0.1624 0.7500 0.0904
V2 V 0.2521 0.0181 0.6950
V3 V 0.2981 0.7500 0.4173
Ga1 Ga 0.3816 0.2500 0.0265
```

E_form = 0.26 eV/f.u.
Excess energy over the best structure of this formula in the dataset = 138 meV/atom
DFT total energy = -0.2887 hartree per atom

Entry 8:
A plane-wave DFT calculation with PBE-GGA was carried out for a relaxed structure of TiV12Ga3.

Structure (CIF):
```
data_TiV12Ga3
_cell_length_a 4.7703
_cell_length_b 4.8276
_cell_length_c 9.5966
_cell_angle_alpha 90.00
_cell_angle_beta 90.00
_cell_angle_gamma 90.00
_space_group_name_H-M_alt 'P m m m'
_space_group_IT_number 47
loop_
_space_group_symop_operation_xyz
'x,y,z'
'-x,-y,-z'
'-x,-y,z'
'x,y,-z'
'x,-y,-z'
'-x,y,z'
'-x,y,-z'
'x,-y,z'
loop_
_atom_site_label
_atom_site_type_symbol
_atom_site_fract_x
_atom_site_fract_y
_atom_site_fract_z
Ti1 Ti 0.0000 0.0000 0.0000
V1 V 0.0000 0.2457 0.2513
V2 V 0.2459 0.5000 0.5000
V3 V 0.2471 0.5000 0.0000
V4 V 0.5000 0.0000 0.1273
V5 V 0.5000 0.0000 0.3767
Ga1 Ga 0.0000 0.0000 0.5000
Ga2 Ga 0.5000 0.5000 0.2508
```

E_form = -1.99 eV/f.u.
DFT total energy = -0.2949 hartree per atom